Entry 1:
First-principles (GGA-PBE) data for crystalline Mg6SiBi at its relaxed geometry, as listed in Alexandria via LeMat-Bulk.

Cell: 4.966 6.080 12.510 Å, 90.00 90.00 90.00°
Atoms (fractional coordinates):
Mg: 0.000 0.000 0.000
Mg: 0.000 0.241 0.753
Mg: 0.000 0.259 0.253
Mg: 0.000 0.500 0.500
Mg: 0.000 0.741 0.253
Mg: 0.000 0.759 0.753
Mg: 0.500 0.000 0.859
Mg: 0.500 0.243 0.584
Mg: 0.500 0.257 0.084
Mg: 0.500 0.500 0.359
Mg: 0.500 0.743 0.084
Mg: 0.500 0.757 0.584
Si: 0.000 0.000 0.567
Si: 0.000 0.500 0.067
Bi: 0.500 0.000 0.322
Bi: 0.500 0.500 0.822

---

Entry 2:
First-principles (GGA-PBE) data for crystalline MgSiBi2 at its relaxed geometry, as listed in Alexandria via LeMat-Bulk.

Cell: 6.663 6.663 12.393 Å, 90.00 90.00 90.00°
Atoms (fractional coordinates):
Mg: 0.000 0.000 0.000
Mg: 0.000 0.500 0.250
Mg: 0.500 0.000 0.750
Mg: 0.500 0.500 0.500
Si: 0.000 0.000 0.500
Si: 0.000 0.500 0.750
Si: 0.500 0.000 0.250
Si: 0.500 0.500 0.000
Bi: 0.225 0.250 0.625
Bi: 0.250 0.725 0.875
Bi: 0.250 0.775 0.375
Bi: 0.275 0.250 0.125
Bi: 0.725 0.750 0.125
Bi: 0.750 0.225 0.375
Bi: 0.750 0.275 0.875
Bi: 0.775 0.750 0.625

---

Entry 3:
First-principles (GGA-PBE) data for crystalline Mg14SiBi at its relaxed geometry, as listed in Alexandria via LeMat-Bulk.

Cell: 6.448 6.448 10.040 Å, 90.00 90.00 120.00°
Atoms (fractional coordinates):
Mg: 0.000 0.000 0.248
Mg: 0.000 0.000 0.752
Mg: 0.326 0.163 0.500
Mg: 0.337 0.168 0.000
Mg: 0.502 0.003 0.263
Mg: 0.502 0.003 0.737
Mg: 0.502 0.498 0.263
Mg: 0.502 0.498 0.737
Mg: 0.832 0.168 0.000
Mg: 0.832 0.663 0.000
Mg: 0.837 0.163 0.500
Mg: 0.837 0.674 0.500
Mg: 0.997 0.498 0.263
Mg: 0.997 0.498 0.737
Si: 0.333 0.667 0.500
Bi: 0.333 0.667 0.000

---

Entry 4:
First-principles (GGA-PBE) data for crystalline MgSi2Bi2 at its relaxed geometry, as listed in Alexandria via LeMat-Bulk.

Cell: 6.965 6.965 4.977 Å, 90.00 90.00 90.00°
Atoms (fractional coordinates):
Mg: 0.000 0.000 0.000
Mg: 0.500 0.500 0.000
Si: 0.120 0.380 0.000
Si: 0.380 0.880 0.000
Si: 0.620 0.120 0.000
Si: 0.880 0.620 0.000
Bi: 0.207 0.707 0.500
Bi: 0.293 0.207 0.500
Bi: 0.707 0.793 0.500
Bi: 0.793 0.293 0.500

---

Entry 5:
First-principles (GGA-PBE) data for crystalline Mg14SiBi at its relaxed geometry, as listed in Alexandria via LeMat-Bulk.

Cell: 10.093 6.337 6.337 Å, 64.62 90.00 90.00°
Atoms (fractional coordinates):
Mg: 0.000 0.000 0.000
Mg: 0.000 0.001 0.494
Mg: 0.000 0.494 0.001
Mg: 0.000 0.498 0.498
Mg: 0.244 0.818 0.818
Mg: 0.255 0.317 0.317
Mg: 0.257 0.333 0.802
Mg: 0.257 0.802 0.333
Mg: 0.500 0.501 0.996
Mg: 0.500 0.996 0.501
Mg: 0.743 0.333 0.802
Mg: 0.743 0.802 0.333
Mg: 0.745 0.317 0.317
Mg: 0.756 0.818 0.818
Si: 0.500 0.479 0.479
Bi: 0.500 0.995 0.995

---

Entry 6:
First-principles (GGA-PBE) data for crystalline MgSiBi3 at its relaxed geometry, as listed in Alexandria via LeMat-Bulk.

Cell: 5.463 5.463 5.463 Å, 90.00 90.00 90.00°
Atoms (fractional coordinates):
Mg: 0.000 0.000 0.000
Si: 0.500 0.500 0.500
Bi: 0.000 0.500 0.500
Bi: 0.500 0.000 0.500
Bi: 0.500 0.500 0.000

---

no.,calculated volume (Å³ per cell),formation energy (no corrections) (eV/atom)
1,377.74,0.02
2,550.17,0.15
3,361.56,0.01
4,241.40,0.27
5,366.26,0.02
6,163.02,0.56